#one
A plane-wave DFT calculation with PBE was carried out for crystalline KNa2CdHg at its relaxed geometry.

Lattice parameters (Å, degrees): 5.922 5.922 5.468 90.00 90.00 90.00
Positions (direct):
K (0.000, 0.000, 0.000)
Na (0.000, 0.500, 0.500)
Na (0.500, 0.000, 0.500)
Cd (0.500, 0.500, 0.000)
Hg (0.500, 0.500, 0.500)

#two
A plane-wave DFT calculation with PBE was carried out for crystalline KNa2CdHg at its relaxed geometry.

Lattice parameters (Å, degrees): 5.972 5.972 5.467 90.00 90.00 90.00
Positions (direct):
K (0.000, 0.000, 0.000)
Na (0.000, 0.500, 0.500)
Na (0.500, 0.000, 0.500)
Cd (0.500, 0.500, 0.500)
Hg (0.500, 0.500, 0.000)

Result of the stability comparison: #two is the least stable of them.

#one
A plane-wave DFT calculation with PBE was carried out for crystalline K2CdHgPt at its relaxed geometry.

Lattice parameters (Å, degrees): 6.127 6.127 5.317 90.00 90.00 90.00
Positions (direct):
K (0.000, 0.500, 0.000)
K (0.500, 0.000, 0.000)
Cd (0.000, 0.000, 0.500)
Hg (0.500, 0.500, 0.500)
Pt (0.500, 0.500, 0.000)

#two
A plane-wave DFT calculation with PBE was carried out for crystalline K2CdHgPt at its relaxed geometry.

Lattice parameters (Å, degrees): 6.138 6.138 5.273 90.00 90.00 90.00
Positions (direct):
K (0.000, 0.500, 0.000)
K (0.500, 0.000, 0.000)
Cd (0.000, 0.000, 0.500)
Hg (0.500, 0.500, 0.500)
Pt (0.000, 0.000, 0.000)

Result of the stability comparison: #one is the least stable of them.

#one
A plane-wave DFT calculation with PBE was carried out for crystalline KRb2CdHg at its relaxed geometry.

Lattice parameters (Å, degrees): 6.966 6.966 5.957 90.00 90.00 90.00
Positions (direct):
K (0.000, 0.000, 0.000)
Rb (0.000, 0.500, 0.500)
Rb (0.500, 0.000, 0.500)
Cd (0.500, 0.500, 0.000)
Hg (0.500, 0.500, 0.500)

#two
A plane-wave DFT calculation with PBE was carried out for crystalline KRb2CdHg at its relaxed geometry.

Lattice parameters (Å, degrees): 5.445 6.031 17.829 90.00 90.00 90.00
Positions (direct):
K (0.000, 0.000, 0.000)
K (0.500, 0.500, 0.500)
Rb (0.000, 0.000, 0.267)
Rb (0.000, 0.000, 0.595)
Rb (0.500, 0.500, 0.095)
Rb (0.500, 0.500, 0.767)
Cd (0.000, 0.500, 0.379)
Cd (0.500, 0.000, 0.879)
Hg (0.000, 0.000, 0.804)
Hg (0.500, 0.500, 0.304)

Result of the stability comparison: #one is the least stable of them.

#one
A plane-wave DFT calculation with PBE was carried out for crystalline KRb2CdHg at its relaxed geometry.

Lattice parameters (Å, degrees): 7.132 7.132 5.926 90.00 90.00 90.00
Positions (direct):
K (0.000, 0.000, 0.000)
Rb (0.000, 0.500, 0.500)
Rb (0.500, 0.000, 0.500)
Cd (0.500, 0.500, 0.500)
Hg (0.500, 0.500, 0.000)

#two
A plane-wave DFT calculation with PBE was carried out for crystalline KRb2CdHg at its relaxed geometry.

Lattice parameters (Å, degrees): 6.885 6.885 6.623 90.00 90.00 90.00
Positions (direct):
K (0.000, 0.000, 0.000)
Rb (0.000, 0.500, 0.500)
Rb (0.500, 0.000, 0.500)
Cd (0.500, 0.500, 0.000)
Hg (0.000, 0.000, 0.500)

Result of the stability comparison: #two is the least stable of them.